Computed, not measured: crystalline Mg3HgPd5 at its relaxed geometry at the PBE level of DFT.

Output
As for the crystal system: hexagonal. The value obtained for the calculated volume is 162.8 Å³/cell. The total energy comes out at -0.139 hartree per atom.

Cell: 6.9733 6.9733 3.8660 Å, 90.00 90.00 120.00°
Last column: nearest neighbours and their distance in Å.
Space group P-62m (No. 189)
Inequivalent atoms, fractional coordinates:
Mg: 0.0000 0.5738 0.0000 x3  6 Pd 2.84-2.91, 1 Hg 2.97
Hg: 0.0000 0.0000 0.0000 x1  6 Pd 2.66, 3 Mg 2.97
Pd: 0.0000 0.2627 0.5000 x3  2 Pd 2.61, 2 Hg 2.66, 2 Mg 2.91
Pd: 0.3333 0.6667 0.5000 x2  3 Pd 2.61, 6 Mg 2.84

=====

Computed, not measured: crystalline HfAgSn2 at its relaxed geometry at the PBE level of DFT.

Output
As for the crystal system: cubic. The value obtained for the calculated volume is 364.5 Å³/cell. The total energy comes out at -0.183 hartree per atom.

Cell: 7.1433 7.1433 7.1433 Å, 90.00 90.00 90.00°
Last column: nearest neighbours and their distance in Å.
Space group F-43m (No. 216)
Inequivalent atoms, fractional coordinates:
Hf: 0.0000 0.0000 0.0000 x4  4 Sn 3.09, 4 Ag 3.09
Ag: 0.2500 0.2500 0.2500 x4  4 Hf 3.09, 4 Sn 3.09
Sn: 0.0000 0.0000 0.5000 x4  4 Sn 3.09, 4 Ag 3.09
Sn: 0.2500 0.2500 0.7500 x4  4 Hf 3.09, 4 Sn 3.09